(1)
DFT (PBE) results for a relaxed structure of Dy4Y2Er.

**Density of states at the Fermi level**: 10.37 states/eV/cell
**Energy relative to the elements**: 0.01 eV/atom
**Offset from the most stable computed form**: 0 meV/atom
**Calculated total energy**: -5.123 eV/atom

POSCAR file:
```
Dy4Y2Er
1.0
3.577 0.000 0.000
-1.789 3.098 0.000
0.000 0.000 19.971
Dy Y Er
4 2 1
Direct
0.000 0.000 0.000
0.000 0.000 0.282
0.667 0.333 0.426
0.667 0.333 0.712
0.333 0.667 0.570
0.333 0.667 0.856
0.333 0.667 0.140
```

(2)
DFT (PBE) results for a relaxed structure of SiMo2Pb.

**Density of states at the Fermi level**: 10.88 states/eV/cell
**Offset from the most stable computed form**: 399 meV/atom
**Calculated total energy**: -7.140 eV/atom
**Uncorrected formation energy**: 558 meV per atom

POSCAR file:
```
SiMo2Pb
1.0
0.000 3.236 3.236
3.236 0.000 3.236
3.236 3.236 0.000
Si Mo Pb
1 2 1
Direct
0.000 0.000 0.000
0.250 0.250 0.250
0.750 0.750 0.750
0.500 0.500 0.500
```

(3)
DFT (PBE) results for a relaxed structure of CdIrN3.

**Density of states at the Fermi level**: 5.08 states/eV/cell
**Calculated total energy**: -3.896 eV/atom
**Uncorrected formation energy**: 3055 meV per atom

POSCAR file:
```
CdIrN3
1.0
4.034 0.000 0.000
0.000 4.034 0.000
0.000 0.000 4.034
Cd Ir N
1 1 3
Direct
0.000 0.000 0.000
0.500 0.500 0.500
0.000 0.000 0.500
0.000 0.500 0.000
0.500 0.000 0.000
```

(4)
DFT (PBE) results for a relaxed structure of MnV2Br8.

**Calculated total energy**: -4.453 eV/atom
**Uncorrected formation energy**: -745 meV per atom

POSCAR file:
```
MnV2Br8
1.0
6.090 -5.232 0.000
6.090 5.232 0.000
-0.474 0.000 6.538
Mn V Br
1 2 8
Direct
0.000 0.000 0.000
0.202 0.202 0.639
0.798 0.798 0.361
0.074 0.726 0.220
0.189 0.189 0.271
0.274 0.926 0.780
0.387 0.387 0.755
0.613 0.613 0.245
0.726 0.074 0.220
0.811 0.811 0.729
0.926 0.274 0.780
```

(5)
DFT (PBE) results for a relaxed structure of Re2Cl.

**Density of states at the Fermi level**: 4.95 states/eV/cell
**Offset from the most stable computed form**: 103 meV/atom
**Calculated total energy**: -8.632 eV/atom
**Uncorrected formation energy**: 282 meV per atom

POSCAR file:
```
Re2Cl
1.0
4.898 -1.469 0.000
4.898 1.469 0.000
-1.531 0.000 8.735
Re Cl
4 2
Direct
0.037 0.037 0.370
0.314 0.314 0.409
0.686 0.686 0.591
0.963 0.963 0.630
0.394 0.394 0.160
0.606 0.606 0.840
```

(6)
DFT (PBE) results for a relaxed structure of BeSi2Ir.

**Density of states at the Fermi level**: 1.49 states/eV/cell
**Calculated total energy**: -5.888 eV/atom
**Uncorrected formation energy**: -30 meV per atom

POSCAR file:
```
BeSi2Ir
1.0
2.778 0.000 0.000
0.000 2.778 0.000
0.000 0.000 6.749
Be Si Ir
1 2 1
Direct
0.000 0.000 0.000
0.000 0.000 0.445
0.500 0.500 0.758
0.500 0.500 0.205
```

Q: What is the formula in the second record?
A: SiMo2Pb

Q: Which formula does entry 5 have?
A: Re2Cl

Q: What is the formula in the fourth record?
A: MnV2Br8

Q: Which formula does entry 6 have?
A: BeSi2Ir